1.
Below is an optimized crystal structure of Tb10Tm4Th, with properties calculated at the GGA-PBE level.

Calculated values
**SG**: No. 87
**E_form**: 0.381 eV per atom

Cell lengths 8.6105, 8.6105, 8.6105 Å; angles 111.34, 111.34, 105.80 degrees
Last column: nearest neighbours and their distance in Å.
Fractional coordinates of all 15 atoms:
Tb1 0.0467 0.9469 0.6736  5 Tb 3.14-3.33
Tb2 0.0531 0.7267 0.0998  5 Tb 3.14-3.33
Tb3 0.2500 0.7500 0.5000  4 Tm 3.13, 4 Tb 3.14
Tb4 0.2733 0.3731 0.3264  5 Tb 3.14-3.33
Tb5 0.3731 0.0467 0.0998  5 Tb 3.14-3.33
Tb6 0.6269 0.9533 0.9002  5 Tb 3.14-3.33
Tb7 0.7267 0.6269 0.6736  5 Tb 3.14-3.33
Tb8 0.7500 0.2500 0.5000  4 Tm 3.13, 4 Tb 3.14
Tb9 0.9469 0.2733 0.9002  5 Tb 3.14-3.33
Tb10 0.9533 0.0531 0.3264  5 Tb 3.14-3.33
Tm1 0.1653 0.5692 0.7345  2 Tb 3.13, 1 Th 3.32, 1 Tm 3.48
Tm2 0.4308 0.1653 0.5961  2 Tb 3.13, 1 Th 3.32, 1 Tm 3.48
Tm3 0.5692 0.8347 0.4039  2 Tb 3.13, 1 Th 3.32, 1 Tm 3.48
Tm4 0.8347 0.4308 0.2655  2 Tb 3.13, 1 Th 3.32, 1 Tm 3.48
Th1 0.5000 0.5000 0.0000  4 Tm 3.32

=====

2.
Below is an optimized crystal structure of Ga2BI8, with properties calculated at the GGA-PBE level.

Calculated values
**SG**: No. 5

Cell lengths 7.9874, 7.9874, 15.0526 Å; angles 112.17, 112.17, 36.16 degrees
Last column: nearest neighbours and their distance in Å.
Fractional coordinates of all 11 atoms:
Ga1 0.1580 0.1580 0.2996  4 I 2.54-2.82
Ga2 0.8420 0.8420 0.7004  4 I 2.54-2.82
B1 0.7719 0.2281 0.0000  4 I 2.21-2.35
I1 0.0206 0.9679 0.1290  1 B 2.35
I2 0.0321 0.9794 0.8710  1 B 2.35
I3 0.3435 0.3031 0.2945  1 Ga 2.54
I4 0.3741 0.3707 0.6294  2 Ga 2.80-2.82
I5 0.4242 0.2956 0.9446  1 B 2.21
I6 0.6293 0.6259 0.3706  2 Ga 2.80-2.82
I7 0.6969 0.6565 0.7055  1 Ga 2.54
I8 0.7044 0.5758 0.0554  1 B 2.21

=====

3.
Below is an optimized crystal structure of TaVCN, with properties calculated at the GGA-PBE level.

Calculated values
**SG**: No. 160
**Energy above the most stable polymorph in this dataset**: 0.0000 eV/atom

Cell lengths 5.2979, 5.2979, 5.2979 Å; angles 33.64, 33.64, 33.64 degrees
Last column: nearest neighbours and their distance in Å.
Fractional coordinates of all 4 atoms:
Ta1 0.0000 0.0000 0.0000  3 C 2.18, 3 N 2.20
V1 0.5136 0.5136 0.5136  3 C 2.05, 3 N 2.25
C1 0.2488 0.2488 0.2488  3 V 2.05, 3 Ta 2.18
N1 0.7543 0.7543 0.7543  3 Ta 2.20, 3 V 2.25

=====

4.
Below is an optimized crystal structure of NaCa2DyS4, with properties calculated at the GGA-PBE level.

Calculated values
**SG**: No. 10

Cell lengths 6.8992, 4.0217, 6.9394 Å; angles 90.00, 108.58, 90.00 degrees
Last column: nearest neighbours and their distance in Å.
Fractional coordinates of all 8 atoms:
Na1 0.0000 0.0000 0.0000  6 S 2.82-2.89
Ca1 0.5000 0.0000 0.5000  6 S 2.80-2.81
Ca2 0.5000 0.5000 0.0000  6 S 2.88-2.90
Dy1 0.0000 0.5000 0.5000  6 S 2.74-2.80
S1 0.2414 0.0000 0.7400  2 Dy 2.80, 3 Ca 2.80-2.90, 1 Na 2.82
S2 0.2509 0.5000 0.2626  1 Dy 2.74, 3 Ca 2.81-2.88, 2 Na 2.89
S3 0.7491 0.5000 0.7374  1 Dy 2.74, 3 Ca 2.81-2.88, 2 Na 2.89
S4 0.7586 0.0000 0.2600  2 Dy 2.80, 3 Ca 2.80-2.90, 1 Na 2.82

=====

5.
Below is an optimized crystal structure of Sr2CuPbN, with properties calculated at the GGA-PBE level.

Calculated values
**SG**: No. 123

Cell lengths 5.6785, 5.6785, 3.7333 Å; angles 90.00, 90.00, 90.00 degrees
Last column: nearest neighbours and their distance in Å.
Fractional coordinates of all 5 atoms:
Sr1 0.0000 0.5000 0.0000  2 N 2.84
Sr2 0.5000 0.0000 0.0000  2 N 2.84
Cu1 0.0000 0.0000 0.5000  2 N 1.87
Pb1 0.5000 0.5000 0.5000  8 Sr 3.40, 2 Pb 3.73
N1 0.0000 0.0000 0.0000  2 Cu 1.87

=====

6.
Below is an optimized crystal structure of Pm2Dy2Tm15, with properties calculated at the GGA-PBE level.

Calculated values
**SG**: No. 166
**E_form**: 0.293 eV per atom

Cell lengths 8.6296, 8.6296, 8.6296 Å; angles 80.00, 80.00, 80.00 degrees
Last column: nearest neighbours and their distance in Å.
Fractional coordinates of all 19 atoms:
Pm1 0.1161 0.1161 0.1161  6 Tm 3.32-3.58, 1 Dy 3.70
Pm2 0.8839 0.8839 0.8839  6 Tm 3.32-3.58, 1 Dy 3.70
Dy1 0.3292 0.3292 0.3292  1 Pm 3.70, 12 Tm 3.87-4.07
Dy2 0.6708 0.6708 0.6708  1 Pm 3.70, 12 Tm 3.87-4.07
Tm1 0.0000 0.0000 0.5000  8 Tm 3.30-3.36, 2 Pm 3.32
Tm2 0.0000 0.3043 0.6957  6 Tm 3.25-3.38
Tm3 0.0000 0.5000 0.0000  8 Tm 3.30-3.36, 2 Pm 3.32
Tm4 0.0000 0.6957 0.3043  6 Tm 3.25-3.38
Tm5 0.1516 0.6335 0.6335  6 Tm 3.23-3.30, 1 Pm 3.58
Tm6 0.3043 0.0000 0.6957  6 Tm 3.25-3.38
Tm7 0.3043 0.6957 0.0000  6 Tm 3.25-3.38
Tm8 0.3665 0.3665 0.8484  6 Tm 3.23-3.30, 1 Pm 3.58
Tm9 0.3665 0.8484 0.3665  6 Tm 3.23-3.30, 1 Pm 3.58
Tm10 0.5000 0.0000 0.0000  8 Tm 3.30-3.36, 2 Pm 3.32
Tm11 0.6335 0.1516 0.6335  6 Tm 3.23-3.30, 1 Pm 3.58
Tm12 0.6335 0.6335 0.1516  6 Tm 3.23-3.30, 1 Pm 3.58
Tm13 0.6957 0.0000 0.3043  6 Tm 3.25-3.38
Tm14 0.6957 0.3043 0.0000  6 Tm 3.25-3.38
Tm15 0.8484 0.3665 0.3665  6 Tm 3.23-3.30, 1 Pm 3.58

=====

7.
Below is an optimized crystal structure of TcOs2Au, with properties calculated at the GGA-PBE level.

Calculated values
**SG**: No. 65
**E_form**: 0.487 eV per atom
**Energy above the most stable polymorph in this dataset**: 0.2433 eV/atom

Cell lengths 4.7763, 4.7763, 2.7969 Å; angles 90.00, 90.00, 109.18 degrees
Last column: nearest neighbours and their distance in Å.
Fractional coordinates of all 4 atoms:
Tc1 0.0000 0.0000 0.0000  8 Os 2.77, 2 Au 2.77, 2 Tc 2.80
Os1 0.0000 0.5000 0.5000  4 Tc 2.77, 4 Au 2.77, 4 Os 2.77-2.80
Os2 0.5000 0.0000 0.5000  4 Tc 2.77, 4 Au 2.77, 4 Os 2.77-2.80
Au1 0.5000 0.5000 0.0000  8 Os 2.77, 2 Tc 2.77, 2 Au 2.80

=====

8.
Below is an optimized crystal structure of Re2HgN, with properties calculated at the GGA-PBE level.

Calculated values
**SG**: No. 225
**Energy above the most stable polymorph in this dataset**: 0.8740 eV/atom

Cell lengths 4.3355, 4.3355, 4.3355 Å; angles 60.00, 60.00, 60.00 degrees
Last column: nearest neighbours and their distance in Å.
Fractional coordinates of all 4 atoms:
Re1 0.2500 0.2500 0.2500  4 Hg 2.65, 4 N 2.65
Re2 0.7500 0.7500 0.7500  4 N 2.65, 4 Hg 2.65
Hg1 0.0000 0.0000 0.0000  8 Re 2.65
N1 0.5000 0.5000 0.5000  8 Re 2.65

=====

Uncorrected energy
In order: -65.9; -27.1; -41.5; -42.1; -21.1; -80.2; -34.2; -25.8
Unit: eV/cell